Computed, not measured: a relaxed Ta3ZnPd crystal at the PBE level of DFT.

```
Ta3ZnPd
1.0
-2.618 -3.629 -1.263
3.836 -2.378 -1.119
0.228 -1.672 4.332
Zn Pd Ta
1 1 3
Direct
0.000 0.000 0.000 Zn
0.500 0.500 0.500 Pd
0.000 0.500 0.000 Ta
0.000 0.000 0.500 Ta
0.500 0.000 0.000 Ta
```

Properties
Energy of formation from the pure elements = 1.333 eV per atom
Raw total energy = -7.07 eV/atom

Computed, not measured: a relaxed TaZn2Pd3 crystal at the PBE level of DFT.

```
TaZn2Pd3
1.0
-2.553 0.738 -1.105
-1.281 -2.006 1.619
-1.346 7.314 8.000
Ta Zn Pd
1 2 3
Direct
0.500 0.500 0.500 Ta
0.500 0.500 0.842 Zn
0.500 0.500 0.158 Zn
0.000 0.000 0.000 Pd
0.000 0.000 0.681 Pd
0.000 0.000 0.319 Pd
```

Properties
Energy of formation from the pure elements = -0.482 eV per atom
Raw total energy = -5.48 eV/atom

Computed, not measured: a relaxed Ta2ZnPd2 crystal at the PBE level of DFT.

```
Ta2ZnPd2
1.0
-1.539 6.555 3.784
0.872 -3.683 6.733
2.808 0.660 -0.002
Zn Pd Ta
2 4 4
Direct
0.000 0.000 0.000 Zn
0.500 0.500 0.000 Zn
0.375 0.875 0.000 Pd
0.875 0.625 0.000 Pd
0.625 0.125 0.000 Pd
0.125 0.375 0.000 Pd
0.172 0.672 0.500 Ta
0.672 0.828 0.500 Ta
0.828 0.328 0.500 Ta
0.328 0.172 0.500 Ta
```

Properties
Energy of formation from the pure elements = -0.050 eV per atom
Raw total energy = -7.12 eV/atom

Computed, not measured: a relaxed TaZn5Pd4 crystal at the PBE level of DFT.

```
TaZn5Pd4
1.0
2.969 0.000 0.000
0.000 2.969 0.000
0.000 0.000 16.763
Ta Zn Pd
1 5 4
Direct
0.000 0.000 0.000 Ta
0.500 0.500 0.112 Zn
0.500 0.500 0.305 Zn
0.500 0.500 0.500 Zn
0.500 0.500 0.695 Zn
0.500 0.500 0.888 Zn
0.000 0.000 0.209 Pd
0.000 0.000 0.402 Pd
0.000 0.000 0.598 Pd
0.000 0.000 0.791 Pd
```

Properties
Energy of formation from the pure elements = -0.430 eV per atom
Raw total energy = -4.33 eV/atom

Computed, not measured: a relaxed Ta2ZnPd6 crystal at the PBE level of DFT.

```
Ta2ZnPd6
1.0
-1.115 -1.938 -1.726
5.759 0.954 -4.790
1.213 -4.408 6.532
Ta Zn Pd
2 1 6
Direct
0.677 0.663 0.327 Ta
0.323 0.337 0.673 Ta
0.000 0.000 0.000 Zn
0.173 0.352 0.335 Pd
0.827 0.017 0.665 Pd
0.827 0.648 0.665 Pd
0.500 0.309 0.000 Pd
0.173 0.983 0.335 Pd
0.500 0.691 0.000 Pd
```

Properties
Energy of formation from the pure elements = -0.264 eV per atom
Raw total energy = -6.50 eV/atom

Computed, not measured: a relaxed ZrTaPd crystal at the PBE level of DFT.

```
ZrTaPd
1.0
-1.051 2.405 -1.686
1.374 -1.180 -2.540
-5.008 -3.596 0.878
Zr Pd Ta
1 1 1
Direct
0.000 0.000 0.000 Zr
0.320 0.320 0.641 Pd
0.680 0.680 0.359 Ta
```

Properties
Energy of formation from the pure elements = -0.284 eV per atom
Raw total energy = -8.82 eV/atom